First-principles (PBE) data for a relaxed KPu2Br11 crystal, as listed in Alexandria via LeMat-Bulk.

E_form (uncorrected)	-1107	meV per atom
Fermi-level density of states	86.5	states/eV per cell
energy	-4.547	eV per atom

Cell: 12.997 13.053 14.500 Å, 90.00 90.00 90.00°
Space group Ibam (No. 72)
Inequivalent atoms, fractional coordinates:
K 0.000 0.000 0.250 [4 per cell]
Pu 0.160 0.349 0.000 [8 per cell]
Br 0.000 0.500 0.000 [4 per cell]
Br 0.060 0.243 0.131 [16 per cell]
Br 0.193 0.289 0.500 [8 per cell]
Br 0.238 0.044 0.370 [16 per cell]

First-principles (PBE) data for a relaxed CaHgAu2 crystal, as listed in Alexandria via LeMat-Bulk.

Fermi-level density of states	2.8	states/eV per cell
energy	-2.696	eV per atom

Cell: 4.524 4.524 8.470 Å, 90.00 90.00 90.00°
Space group I-4m2 (No. 119)
Inequivalent atoms, fractional coordinates:
Ca 0.000 0.000 0.000 [2 per cell]
Hg 0.000 0.500 0.250 [2 per cell]
Au 0.000 0.000 0.500 [2 per cell]
Au 0.000 0.500 0.750 [2 per cell]

First-principles (PBE) data for a relaxed Tb4Dy19Y6 crystal, as listed in Alexandria via LeMat-Bulk.

Fermi-level density of states	89.1	states/eV per cell
energy	-4.604	eV per atom

Cell: 12.440 12.440 12.440 Å, 90.00 90.00 90.00°
Space group I23 (No. 197)
Inequivalent atoms, fractional coordinates:
Tb 0.180 0.180 0.820 [8 per cell]
Dy 0.000 0.000 0.000 [2 per cell]
Dy 0.000 0.000 0.259 [12 per cell]
Dy 0.063 0.259 0.278 [24 per cell]
Y 0.000 0.372 0.500 [12 per cell]

Fermi-level density of states of number 3 (Tb4Dy19Y6)?
89.1 states/eV per cell